The following is a DFT calculation (PBE-GGA) of a relaxed GdHoGaTc crystal.

a b c (Å): 4.9595 4.9595 4.9595
angles (deg): 60.00 60.00 60.00
Element x y z (fractional)
Gd 0.0000 0.0000 0.0000
Ho 0.5000 0.5000 0.5000
Ga 0.7500 0.7500 0.7500
Tc 0.2500 0.2500 0.2500

Energy of formation, eV per atom: -0.22
Space-group type: F-43m (216)